DFT (GGA-PBE) results for a geometry-optimized Co2C structure.

Calculated values
**Energy relative to the elements**: 0.28 eV/atom
**Offset from the most stable computed form**: 177.1 meV per atom
**M_tot**: 0.354 μB per atom

Lattice parameters (Å, degrees): 2.858 2.858 4.036 90.00 90.00 120.00
Positions (direct):
1 Co 0.333 0.667 0.235
2 Co 0.667 0.333 0.765
3 C 0.000 0.000 0.000

***

DFT (GGA-PBE) results for a geometry-optimized CoC structure.

Calculated values
**Energy relative to the elements**: 0.85 eV/atom
**M_tot**: 0.207 μB per atom

Lattice parameters (Å, degrees): 4.655 4.655 4.785 63.92 63.92 36.54
Positions (direct):
1 Co 0.990 0.990 0.063
2 Co 0.084 0.084 0.482
3 Co 0.749 0.749 0.942
4 C 0.611 0.611 0.729
5 C 0.307 0.307 0.157
6 C 0.426 0.426 0.793

***

DFT (GGA-PBE) results for a geometry-optimized CoC2 structure.

Calculated values
**Energy relative to the elements**: 0.49 eV/atom
**Offset from the most stable computed form**: 0.0 meV per atom
**M_tot**: 0.672 μB per atom

Lattice parameters (Å, degrees): 2.440 2.440 8.287 90.00 90.00 120.00
Positions (direct):
1 C 0.667 0.333 0.500
2 C 0.333 0.667 0.500
3 Co 0.000 0.000 0.000

***

DFT (GGA-PBE) results for a geometry-optimized Co8C structure.

Calculated values
**Energy relative to the elements**: 0.41 eV/atom
**M_tot**: 1.413 μB per atom

Lattice parameters (Å, degrees): 5.480 5.480 5.480 95.60 95.60 143.60
Positions (direct):
1 Co 0.662 0.338 0.000
2 Co 0.338 0.662 0.000
3 Co 0.000 0.668 0.668
4 Co 0.338 0.338 0.675
5 Co 0.668 0.000 0.668
6 Co 0.662 0.662 0.325
7 Co 0.000 0.332 0.332
8 Co 0.332 0.000 0.332
9 C 0.000 0.000 0.000

***

DFT (GGA-PBE) results for a geometry-optimized Co4C structure.

Calculated values
**Energy relative to the elements**: 0.54 eV/atom
**Offset from the most stable computed form**: 322.2 meV per atom
**M_tot**: 1.091 μB per atom

Lattice parameters (Å, degrees): 4.101 4.101 4.101 109.47 109.47 109.47
Positions (direct):
1 Co 0.000 0.500 0.000
2 Co 0.500 0.500 0.500
3 Co 0.500 0.000 0.000
4 Co 0.000 0.000 0.500
5 C 0.000 0.000 0.000

***

DFT (GGA-PBE) results for a geometry-optimized CoC structure.

Calculated values
**Energy relative to the elements**: 0.79 eV/atom
**M_tot**: 0.000 μB per atom

Lattice parameters (Å, degrees): 2.822 2.822 4.007 90.00 90.00 90.00
Positions (direct):
1 C 0.250 0.250 0.223
2 C 0.750 0.750 0.777
3 Co 0.250 0.250 0.713
4 Co 0.750 0.750 0.287